# 1
GaSnIr: relaxed, PBE.

The structure in POSCAR format:
```
GaSnIr
1.0
-3.160 1.421 0.563
-1.824 -3.097 -2.422
0.492 -0.593 4.265
Ir Ga Sn
1 1 1
Direct
0.167 0.000 0.000
0.166 0.333 0.667
0.666 0.667 0.333
```

Calculated values
V, Å³/atom: 19.034
SG: P-6m2, No. 187
DFT total energy, Ry/atom: -0.3867

# 2
Ga2SnIr2: relaxed, PBE.

The structure in POSCAR format:
```
Ga2SnIr2
1.0
-0.544 0.289 -2.963
-6.115 -2.031 0.925
-1.234 8.972 1.102
Ir Ga Sn
4 4 2
Direct
0.750 0.863 0.876
0.250 0.137 0.124
0.750 0.675 0.483
0.250 0.325 0.517
0.250 0.727 0.061
0.750 0.273 0.939
0.250 0.503 0.270
0.750 0.497 0.730
0.750 0.016 0.344
0.250 0.984 0.656
```

Calculated values
V, Å³/atom: 17.734
SG: P2_1/m, No. 11
DFT total energy, Ry/atom: -0.4213
Excess energy over the best structure of this formula in the dataset, eV per atom: 0.094

# 3
Ga2SnIr: relaxed, PBE.

The structure in POSCAR format:
```
Ga2SnIr
1.0
3.131 0.000 0.000
1.565 2.711 0.000
1.565 0.904 9.181
Sn Ir Ga
1 1 2
Direct
0.000 0.000 0.000
0.500 0.500 0.500
0.899 0.899 0.302
0.101 0.101 0.698
```

Calculated values
V, Å³/atom: 19.482
SG: R-3m, No. 166
DFT total energy, Ry/atom: -0.3549

# 4
GaSnIr2: relaxed, PBE.

The structure in POSCAR format:
```
GaSnIr2
1.0
-3.094 2.454 -0.736
-3.254 -0.110 2.352
-0.048 4.296 3.563
Ir Sn Ga
2 1 1
Direct
0.263 0.263 0.212
0.069 0.069 0.793
0.494 0.494 0.517
0.674 0.674 0.978
```

Calculated values
V, Å³/atom: 17.734
SG: R3m, No. 160
DFT total energy, Ry/atom: -0.4643
Excess energy over the best structure of this formula in the dataset, eV per atom: 0.040

# 5
GaSnIr2: relaxed, PBE.

The structure in POSCAR format:
```
GaSnIr2
1.0
3.575 0.000 0.000
0.000 4.239 0.000
0.000 0.000 4.239
Ir Sn Ga
2 1 1
Direct
0.000 0.000 0.500
0.000 0.500 0.000
0.500 0.500 0.500
0.500 0.000 0.000
```

Calculated values
V, Å³/atom: 16.057
SG: P4/mmm, No. 123
DFT total energy, Ry/atom: -0.4660
Excess energy over the best structure of this formula in the dataset, eV per atom: 0.016

# 6
GaSn5Ir3: relaxed, PBE.

The structure in POSCAR format:
```
GaSn5Ir3
1.0
-3.936 3.265 -5.242
1.399 -4.002 -5.972
-7.567 -5.283 -2.711
Ir Sn Ga
6 10 2
Direct
0.000 0.000 0.000
0.308 0.308 0.688
0.692 0.692 0.312
0.339 0.339 0.174
0.661 0.661 0.826
0.000 0.000 0.500
0.287 0.713 0.000
0.618 0.040 0.657
0.768 0.768 0.009
0.561 0.561 0.630
0.382 0.960 0.343
0.960 0.382 0.343
0.040 0.618 0.657
0.439 0.439 0.370
0.232 0.232 0.991
0.713 0.287 0.000
0.914 0.914 0.305
0.086 0.086 0.695
```

Calculated values
V, Å³/atom: 24.382
SG: C2/m, No. 12
DFT total energy, Ry/atom: -0.4204